Entry 1:
Computed, not measured: a geometry-optimized K2SrCrCl6 structure at the PBE level of DFT.

```
K2SrCrCl6
1.0
7.526 0.000 -0.005
0.000 7.527 -0.005
-3.768 -3.768 5.324
Cl K Cr Sr
6 2 1 1
direct
0.766 0.235 0.000 Cl
0.766 0.767 0.001 Cl
0.765 0.765 0.532 Cl
0.235 0.234 0.000 Cl
0.234 0.766 0.001 Cl
0.235 0.235 0.469 Cl
0.250 0.749 0.498 K
0.748 0.251 0.498 K
0.000 0.000 0.000 Cr
0.500 0.500 0.000 Sr
```

Results
Its raw formation energy is -1.7450 eV per atom. The space group is Cm, No. 8.

=====

Entry 2:
Computed, not measured: a geometry-optimized Y2Ho7Tm3 structure at the PBE level of DFT.

```
Y2Ho7Tm3
1.0
3.487 0.000 0.000
0.000 6.229 0.744
0.000 2.341 17.551
Y Tm Ho
2 3 7
direct
0.500 0.389 0.673 Y
0.500 0.611 0.327 Y
0.500 0.500 0.000 Tm
0.000 0.106 0.343 Tm
0.000 0.894 0.657 Tm
0.500 0.758 0.498 Ho
0.000 0.000 0.000 Ho
0.000 0.440 0.836 Ho
0.500 0.242 0.502 Ho
0.000 0.560 0.164 Ho
0.500 0.942 0.832 Ho
0.500 0.058 0.168 Ho
```

Results
Its energy of formation is 0.08 eV/atom. The space group is P2/m, No. 10. The calculation puts the energy above the most stable polymorph in this dataset at 0.0 kJ/mol of atoms.